No. 1
The following is a DFT calculation (GGA-PBE) of DyCu2Ir after structural relaxation.

Geometry as CIF:
```
data_DyCu2Ir
_space_group_name_H-M_alt 'F m -3 m'
_space_group_IT_number 225
_space_group_name_Hall '-F 4 2 3'
_cell_length_a 6.3644
_cell_length_b 6.3644
_cell_length_c 6.3644
_cell_angle_alpha 90.00
_cell_angle_beta 90.00
_cell_angle_gamma 90.00
loop_
_atom_site_label
_atom_site_fract_x
_atom_site_fract_y
_atom_site_fract_z
Dy1 0.0000 0.0000 0.0000
Cu1 0.2500 0.2500 0.2500
Ir1 0.0000 0.0000 0.5000
```

Calculated values
Calculated formation energy: -0.2344 eV per atom

=====

No. 2
The following is a DFT calculation (GGA-PBE) of Dy4Cu3Ir after structural relaxation.

Geometry as CIF:
```
data_Dy4Cu3Ir
_space_group_name_H-M_alt 'P m m 2'
_space_group_IT_number 25
_space_group_name_Hall 'P 2 -2'
_cell_length_a 3.7600
_cell_length_b 4.4118
_cell_length_c 10.4046
_cell_angle_alpha 90.00
_cell_angle_beta 90.00
_cell_angle_gamma 90.00
loop_
_atom_site_label
_atom_site_fract_x
_atom_site_fract_y
_atom_site_fract_z
Dy1 0.0000 0.0000 0.0000
Dy2 0.0000 0.5000 0.2723
Dy3 0.5000 0.0000 0.4872
Dy4 0.5000 0.5000 0.7742
Cu1 0.0000 0.0000 0.7040
Cu2 0.0000 0.5000 0.5637
Cu3 0.5000 0.5000 0.0567
Ir1 0.5000 0.0000 0.2124
```

Calculated values
Calculated formation energy: -0.4419 eV per atom

=====

No. 3
The following is a DFT calculation (GGA-PBE) of Dy6Cu2Ir after structural relaxation.

Geometry as CIF:
```
data_Dy6Cu2Ir
_space_group_name_H-M_alt 'I m m m'
_space_group_IT_number 71
_space_group_name_Hall '-I 2 2'
_cell_length_a 9.4988
_cell_length_b 9.5630
_cell_length_c 9.6223
_cell_angle_alpha 90.00
_cell_angle_beta 90.00
_cell_angle_gamma 90.00
loop_
_atom_site_label
_atom_site_fract_x
_atom_site_fract_y
_atom_site_fract_z
Dy1 0.0000 0.1742 0.2439
Dy2 0.1718 0.5000 0.2949
Dy3 0.2394 0.3167 0.0000
Cu1 0.0000 0.3525 0.5000
Cu2 0.1221 0.0000 0.0000
Ir1 0.0000 0.0000 0.5000
Ir2 0.0000 0.5000 0.0000
```

Calculated values
Calculated formation energy: -0.3251 eV per atom

=====

No. 4
The following is a DFT calculation (GGA-PBE) of Dy12Cu6Ir after structural relaxation.

Geometry as CIF:
```
data_Dy12Cu6Ir
_space_group_name_H-M_alt 'R -3'
_space_group_IT_number 148
_space_group_name_Hall '-R 3'
_cell_length_a 12.2718
_cell_length_b 12.2718
_cell_length_c 11.9121
_cell_angle_alpha 90.00
_cell_angle_beta 90.00
_cell_angle_gamma 120.00
loop_
_atom_site_label
_atom_site_fract_x
_atom_site_fract_y
_atom_site_fract_z
Dy1 0.0245 0.2008 0.3904
Dy2 0.0359 0.1985 0.8759
Cu1 0.0414 0.2687 0.6439
Ir1 0.0000 0.0000 0.0000
```

Calculated values
Calculated formation energy: -0.0671 eV per atom

=====

No. 5
The following is a DFT calculation (GGA-PBE) of Dy3CuIr3 after structural relaxation.

Geometry as CIF:
```
data_Dy3CuIr3
_space_group_name_H-M_alt 'C m c m'
_space_group_IT_number 63
_space_group_name_Hall '-C 2c 2'
_cell_length_a 4.1906
_cell_length_b 10.0918
_cell_length_c 13.5508
_cell_angle_alpha 90.00
_cell_angle_beta 90.00
_cell_angle_gamma 90.00
loop_
_atom_site_label
_atom_site_fract_x
_atom_site_fract_y
_atom_site_fract_z
Dy1 0.0000 0.0131 0.2500
Dy2 0.0000 0.2982 0.1024
Cu1 0.0000 0.0000 0.0000
Ir1 0.0000 0.2682 0.7500
Ir2 0.0000 0.4123 0.5898
```

Calculated values
Calculated formation energy: -0.7040 eV per atom

=====

No. 6
The following is a DFT calculation (GGA-PBE) of Dy3CuIr2 after structural relaxation.

Geometry as CIF:
```
data_Dy3CuIr2
_space_group_name_H-M_alt 'P -3 m 1'
_space_group_IT_number 164
_space_group_name_Hall '-P 3 2"'
_cell_length_a 4.8607
_cell_length_b 4.8607
_cell_length_c 11.9377
_cell_angle_alpha 90.00
_cell_angle_beta 90.00
_cell_angle_gamma 120.00
loop_
_atom_site_label
_atom_site_fract_x
_atom_site_fract_y
_atom_site_fract_z
Dy1 0.0000 0.0000 0.2471
Dy2 0.3333 0.6667 0.4165
Dy3 0.3333 0.6667 0.9189
Cu1 0.3333 0.6667 0.6685
Ir1 0.0000 0.0000 0.0000
Ir2 0.0000 0.0000 0.5000
Ir3 0.3333 0.6667 0.1702
```

Calculated values
Calculated formation energy: -0.6824 eV per atom

=====

No. 7
The following is a DFT calculation (GGA-PBE) of LaDyCuIr after structural relaxation.

Geometry as CIF:
```
data_LaDyCuIr
_space_group_name_H-M_alt 'F -4 3 m'
_space_group_IT_number 216
_space_group_name_Hall 'F -4 2 3'
_cell_length_a 7.0731
_cell_length_b 7.0731
_cell_length_c 7.0731
_cell_angle_alpha 90.00
_cell_angle_beta 90.00
_cell_angle_gamma 90.00
loop_
_atom_site_label
_atom_site_fract_x
_atom_site_fract_y
_atom_site_fract_z
La1 0.0000 0.0000 0.0000
Dy1 0.0000 0.0000 0.5000
Cu1 0.2500 0.2500 0.7500
Ir1 0.2500 0.2500 0.2500
```

Calculated values
Calculated formation energy: -0.4818 eV per atom
E above lowest polymorph: 0.16 eV/f.u.

=====

No. 8
The following is a DFT calculation (GGA-PBE) of LaDyCuIr after structural relaxation.

Geometry as CIF:
```
data_LaDyCuIr
_space_group_name_H-M_alt 'A m m 2'
_space_group_IT_number 38
_space_group_name_Hall 'A 2 -2'
_cell_length_a 4.4921
_cell_length_b 3.8968
_cell_length_c 10.5092
_cell_angle_alpha 90.00
_cell_angle_beta 90.00
_cell_angle_gamma 90.00
loop_
_atom_site_label
_atom_site_fract_x
_atom_site_fract_y
_atom_site_fract_z
La1 0.0000 0.0000 0.0000
Dy1 0.5000 0.0000 0.2777
Cu1 0.5000 0.0000 0.5722
Ir1 0.0000 0.0000 0.7239
```

Calculated values
Calculated formation energy: -0.5227 eV per atom
E above lowest polymorph: 0.00 eV/f.u.

=====

No. 9
The following is a DFT calculation (GGA-PBE) of LiDyCuIr after structural relaxation.

Geometry as CIF:
```
data_LiDyCuIr
_space_group_name_H-M_alt 'F -4 3 m'
_space_group_IT_number 216
_space_group_name_Hall 'F -4 2 3'
_cell_length_a 6.5141
_cell_length_b 6.5141
_cell_length_c 6.5141
_cell_angle_alpha 90.00
_cell_angle_beta 90.00
_cell_angle_gamma 90.00
loop_
_atom_site_label
_atom_site_fract_x
_atom_site_fract_y
_atom_site_fract_z
Li1 0.0000 0.0000 0.0000
Dy1 0.0000 0.0000 0.5000
Cu1 0.2500 0.2500 0.7500
Ir1 0.2500 0.2500 0.2500
```

Calculated values
Calculated formation energy: -0.2914 eV per atom

=====

No. 10
The following is a DFT calculation (GGA-PBE) of DyMgCuIr after structural relaxation.

Geometry as CIF:
```
data_DyMgCuIr
_space_group_name_H-M_alt 'F -4 3 m'
_space_group_IT_number 216
_space_group_name_Hall 'F -4 2 3'
_cell_length_a 6.6265
_cell_length_b 6.6265
_cell_length_c 6.6265
_cell_angle_alpha 90.00
_cell_angle_beta 90.00
_cell_angle_gamma 90.00
loop_
_atom_site_label
_atom_site_fract_x
_atom_site_fract_y
_atom_site_fract_z
Dy1 0.0000 0.0000 0.0000
Mg1 0.0000 0.0000 0.5000
Cu1 0.2500 0.2500 0.2500
Ir1 0.2500 0.2500 0.7500
```

Calculated values
Calculated formation energy: -0.4182 eV per atom

=====

No. 11
The following is a DFT calculation (GGA-PBE) of NdDyCuIr after structural relaxation.

Geometry as CIF:
```
data_NdDyCuIr
_space_group_name_H-M_alt 'A m m 2'
_space_group_IT_number 38
_space_group_name_Hall 'A 2 -2'
_cell_length_a 4.3526
_cell_length_b 3.9079
_cell_length_c 10.6150
_cell_angle_alpha 90.00
_cell_angle_beta 90.00
_cell_angle_gamma 90.00
loop_
_atom_site_label
_atom_site_fract_x
_atom_site_fract_y
_atom_site_fract_z
Nd1 0.0000 0.0000 0.0000
Dy1 0.5000 0.0000 0.7221
Cu1 0.5000 0.0000 0.4290
Ir1 0.0000 0.0000 0.2792
```

Calculated values
Calculated formation energy: -0.5175 eV per atom
E above lowest polymorph: 0.00 eV/f.u.

=====

No. 12
The following is a DFT calculation (GGA-PBE) of NdDyCuIr after structural relaxation.

Geometry as CIF:
```
data_NdDyCuIr
_space_group_name_H-M_alt 'F -4 3 m'
_space_group_IT_number 216
_space_group_name_Hall 'F -4 2 3'
_cell_length_a 7.0142
_cell_length_b 7.0142
_cell_length_c 7.0142
_cell_angle_alpha 90.00
_cell_angle_beta 90.00
_cell_angle_gamma 90.00
loop_
_atom_site_label
_atom_site_fract_x
_atom_site_fract_y
_atom_site_fract_z
Nd1 0.0000 0.0000 0.0000
Dy1 0.0000 0.0000 0.5000
Cu1 0.2500 0.2500 0.7500
Ir1 0.2500 0.2500 0.2500
```

Calculated values
Calculated formation energy: -0.4892 eV per atom
E above lowest polymorph: 0.11 eV/f.u.

=====

No. 13
The following is a DFT calculation (GGA-PBE) of DyCuIrO6 after structural relaxation.

Geometry as CIF:
```
data_DyCuIrO6
_space_group_name_H-M_alt 'P -3 1 c'
_space_group_IT_number 163
_space_group_name_Hall '-P 3 2c'
_cell_length_a 5.3998
_cell_length_b 5.3998
_cell_length_c 8.5162
_cell_angle_alpha 90.00
_cell_angle_beta 90.00
_cell_angle_gamma 120.00
loop_
_atom_site_label
_atom_site_fract_x
_atom_site_fract_y
_atom_site_fract_z
Dy1 0.3333 0.6667 0.2500
Cu1 0.0000 0.0000 0.0000
Ir1 0.3333 0.6667 0.7500
O1 0.0428 0.3661 0.6220
```

Calculated values
Formation energy (no corrections): -10.988 eV/f.u.

=====

No. 14
The following is a DFT calculation (GGA-PBE) of Dy2CuP4Ir3 after structural relaxation.

Geometry as CIF:
```
data_Dy2CuP4Ir3
_space_group_name_H-M_alt 'P -4 m 2'
_space_group_IT_number 115
_space_group_name_Hall 'P -4 -2'
_cell_length_a 4.1559
_cell_length_b 4.1559
_cell_length_c 9.4441
_cell_angle_alpha 90.00
_cell_angle_beta 90.00
_cell_angle_gamma 90.00
loop_
_atom_site_label
_atom_site_fract_x
_atom_site_fract_y
_atom_site_fract_z
Dy1 0.0000 0.5000 0.2447
Cu1 0.0000 0.0000 0.5000
P1 0.0000 0.0000 0.0000
P2 0.0000 0.5000 0.6368
P3 0.5000 0.5000 0.0000
Ir1 0.0000 0.5000 0.8858
Ir2 0.5000 0.5000 0.5000
```

Calculated values
Calculated formation energy: -0.8872 eV per atom

=====

No. 15
The following is a DFT calculation (GGA-PBE) of DyPaCuIr after structural relaxation.

Geometry as CIF:
```
data_DyPaCuIr
_space_group_name_H-M_alt 'F -4 3 m'
_space_group_IT_number 216
_space_group_name_Hall 'F -4 2 3'
_cell_length_a 6.9064
_cell_length_b 6.9064
_cell_length_c 6.9064
_cell_angle_alpha 90.00
_cell_angle_beta 90.00
_cell_angle_gamma 90.00
loop_
_atom_site_label
_atom_site_fract_x
_atom_site_fract_y
_atom_site_fract_z
Dy1 0.0000 0.0000 0.0000
Pa1 0.0000 0.0000 0.5000
Cu1 0.2500 0.2500 0.7500
Ir1 0.2500 0.2500 0.2500
```

Calculated values
Calculated formation energy: -0.3849 eV per atom

=====

No. 16
The following is a DFT calculation (GGA-PBE) of DyPuCuIr after structural relaxation.

Geometry as CIF:
```
data_DyPuCuIr
_space_group_name_H-M_alt 'F -4 3 m'
_space_group_IT_number 216
_space_group_name_Hall 'F -4 2 3'
_cell_length_a 6.8961
_cell_length_b 6.8961
_cell_length_c 6.8961
_cell_angle_alpha 90.00
_cell_angle_beta 90.00
_cell_angle_gamma 90.00
loop_
_atom_site_label
_atom_site_fract_x
_atom_site_fract_y
_atom_site_fract_z
Dy1 0.0000 0.0000 0.0000
Pu1 0.0000 0.0000 0.5000
Cu1 0.2500 0.2500 0.2500
Ir1 0.2500 0.2500 0.7500
```

Calculated values
Calculated formation energy: -0.3759 eV per atom

=====

No. 17
The following is a DFT calculation (GGA-PBE) of Dy4Cu2IrRu after structural relaxation.

Geometry as CIF:
```
data_Dy4Cu2IrRu
_space_group_name_H-M_alt 'R -3 m'
_space_group_IT_number 166
_space_group_name_Hall '-R 3 2"'
_cell_length_a 4.8584
_cell_length_b 4.8584
_cell_length_c 23.8586
_cell_angle_alpha 90.00
_cell_angle_beta 90.00
_cell_angle_gamma 120.00
loop_
_atom_site_label
_atom_site_fract_x
_atom_site_fract_y
_atom_site_fract_z
Dy1 0.0000 0.0000 0.1251
Dy2 0.0000 0.0000 0.3749
Cu1 0.0000 0.0000 0.2478
Ir1 0.0000 0.0000 0.0000
Ru1 0.0000 0.0000 0.5000
```

Calculated values
Calculated formation energy: -0.4663 eV per atom

=====

No. 18
The following is a DFT calculation (GGA-PBE) of Dy2CuSi4Ir3 after structural relaxation.

Geometry as CIF:
```
data_Dy2CuSi4Ir3
_space_group_name_H-M_alt 'P -4 m 2'
_space_group_IT_number 115
_space_group_name_Hall 'P -4 -2'
_cell_length_a 4.1215
_cell_length_b 4.1215
_cell_length_c 9.8828
_cell_angle_alpha 90.00
_cell_angle_beta 90.00
_cell_angle_gamma 90.00
loop_
_atom_site_label
_atom_site_fract_x
_atom_site_fract_y
_atom_site_fract_z
Dy1 0.0000 0.5000 0.2457
Cu1 0.0000 0.0000 0.5000
Si1 0.0000 0.0000 0.0000
Si2 0.0000 0.5000 0.6315
Si3 0.5000 0.5000 0.0000
Ir1 0.0000 0.5000 0.8717
Ir2 0.5000 0.5000 0.5000
```

Calculated values
Formation energy (no corrections): -9.033 eV/f.u.

=====

No. 19
The following is a DFT calculation (GGA-PBE) of SmDyCuIr after structural relaxation.

Geometry as CIF:
```
data_SmDyCuIr
_space_group_name_H-M_alt 'A m m 2'
_space_group_IT_number 38
_space_group_name_Hall 'A 2 -2'
_cell_length_a 4.3447
_cell_length_b 3.8829
_cell_length_c 10.5114
_cell_angle_alpha 90.00
_cell_angle_beta 90.00
_cell_angle_gamma 90.00
loop_
_atom_site_label
_atom_site_fract_x
_atom_site_fract_y
_atom_site_fract_z
Sm1 0.0000 0.0000 0.0000
Dy1 0.5000 0.0000 0.7219
Cu1 0.5000 0.0000 0.4310
Ir1 0.0000 0.0000 0.2805
```

Calculated values
Calculated formation energy: -0.5469 eV per atom
E above lowest polymorph: 0.00 eV/f.u.

=====

No. 20
The following is a DFT calculation (GGA-PBE) of SmDyCuIr after structural relaxation.

Geometry as CIF:
```
data_SmDyCuIr
_space_group_name_H-M_alt 'F -4 3 m'
_space_group_IT_number 216
_space_group_name_Hall 'F -4 2 3'
_cell_length_a 6.9670
_cell_length_b 6.9670
_cell_length_c 6.9670
_cell_angle_alpha 90.00
_cell_angle_beta 90.00
_cell_angle_gamma 90.00
loop_
_atom_site_label
_atom_site_fract_x
_atom_site_fract_y
_atom_site_fract_z
Sm1 0.0000 0.0000 0.0000
Dy1 0.0000 0.0000 0.5000
Cu1 0.2500 0.2500 0.2500
Ir1 0.2500 0.2500 0.7500
```

Calculated values
Calculated formation energy: -0.5284 eV per atom
E above lowest polymorph: 0.07 eV/f.u.